Entry 1:
# Pr2HoErTl2 | the Alexandria database | PBE | relaxed
# **ΔH_f (0 K)**: -0.26 eV/atom
# **SG**: Pmc2_1
# **N(E_F)**: 1.04 states/eV/atom
data_Pr2HoErTl2
_symmetry_space_group_name_H-M 'P 1'
_symmetry_Int_Tables_number 1
_cell_length_a 5.146
_cell_length_b 10.253
_cell_length_c 6.888
_cell_angle_alpha 90.00
_cell_angle_beta 90.00
_cell_angle_gamma 90.00
loop_
_symmetry_equiv_pos_as_xyz
'x,y,z'
loop_
_atom_site_label
_atom_site_fract_x
_atom_site_fract_y
_atom_site_fract_z
Pr1 0.000 0.043 0.000
Pr2 0.000 0.957 0.500
Pr3 0.500 0.189 0.266
Pr4 0.500 0.811 0.766
Ho1 0.500 0.460 0.900
Ho2 0.500 0.540 0.400
Er1 0.000 0.317 0.618
Er2 0.000 0.683 0.118
Tl1 0.000 0.378 0.156
Tl2 0.000 0.622 0.656
Tl3 0.500 0.148 0.739
Tl4 0.500 0.852 0.239

Entry 2:
# AlCoW4 | the Alexandria database | PBE | relaxed
# **ΔH_f (0 K)**: 0.66 eV/atom
# **SG**: F-43m
# **N(E_F)**: 1.33 states/eV/atom
data_AlCoW4
_symmetry_space_group_name_H-M 'P 1'
_symmetry_Int_Tables_number 1
_cell_length_a 5.225
_cell_length_b 5.225
_cell_length_c 5.225
_cell_angle_alpha 60.00
_cell_angle_beta 60.00
_cell_angle_gamma 60.00
loop_
_symmetry_equiv_pos_as_xyz
'x,y,z'
loop_
_atom_site_label
_atom_site_fract_x
_atom_site_fract_y
_atom_site_fract_z
Al1 0.000 0.000 0.000
Co1 0.750 0.750 0.750
W1 0.375 0.375 0.375
W2 0.375 0.375 0.876
W3 0.375 0.876 0.375
W4 0.876 0.375 0.375

- N(E_F) of number 1 (Pr2HoErTl2)?
  1.04 states/eV/atom

- Which value of N(E_F) does entry 1 give?
  1.04 states/eV/atom

- The highest N(E_F) belongs to which entry?
  AlCoW4